[1]
# ReNi2Rh | the Alexandria database | GGA-PBE | optimized geometry
# E_form: 0.200 eV/atom
# Magnetic moment: 0.00 μB/atom
# Mass density: 13.0 g/cm3
data_ReNi2Rh
_symmetry_space_group_name_H-M 'R 3 m'
_symmetry_Int_Tables_number 160
_symmetry_space_group_name_Hall 'R 3 -2"'
_cell_length_a 4.1856
_cell_length_b 4.1856
_cell_length_c 10.2741
_cell_angle_alpha 90.00
_cell_angle_beta 90.00
_cell_angle_gamma 120.00
loop_
_atom_site_label
_atom_site_fract_x
_atom_site_fract_y
_atom_site_fract_z
_atom_site_occupancy
Re1 0.0000 0.0000 0.0000 1
Ni1 0.0000 0.0000 0.4997 1
Ni2 0.0000 0.0000 0.7501 1
Rh1 0.0000 0.0000 0.2499 1

[2]
# ReNiRh2 | the Alexandria database | GGA-PBE | optimized geometry
# E_form: 0.053 eV/atom
# Magnetic moment: 0.00 μB/atom
# Mass density: 13.7 g/cm3
data_ReNiRh2
_symmetry_space_group_name_H-M 'P 1 2/m 1'
_symmetry_Int_Tables_number 10
_symmetry_space_group_name_Hall '-P 2y'
_cell_length_a 4.663
_cell_length_b 2.684
_cell_length_c 4.666
_cell_angle_alpha 90.00
_cell_angle_beta 110.54
_cell_angle_gamma 90.00
loop_
_atom_site_label
_atom_site_fract_x
_atom_site_fract_y
_atom_site_fract_z
_atom_site_occupancy
Re1 0.000 0.000 0.000 1
Ni1 0.500 0.500 0.000 1
Rh1 0.000 0.500 0.500 1
Rh2 0.500 0.000 0.500 1

[3]
# ReNi2Rh | the Alexandria database | GGA-PBE | optimized geometry
# E_form: -0.004 eV/atom
# Magnetic moment: 0.00 μB/atom
# Mass density: 13.2 g/cm3
data_ReNi2Rh
_symmetry_space_group_name_H-M 'P 4 m m'
_symmetry_Int_Tables_number 99
_symmetry_space_group_name_Hall 'P 4 -2'
_cell_length_a 2.670
_cell_length_b 2.670
_cell_length_c 7.192
_cell_angle_alpha 90.00
_cell_angle_beta 90.00
_cell_angle_gamma 90.00
loop_
_atom_site_label
_atom_site_fract_x
_atom_site_fract_y
_atom_site_fract_z
_atom_site_occupancy
Re1 0.000 0.000 0.000 1
Ni1 0.000 0.000 0.525 1
Ni2 0.500 0.500 0.754 1
Rh1 0.500 0.500 0.268 1

[4]
# ReNiRh | the Alexandria database | GGA-PBE | optimized geometry
# E_form: -0.115 eV/atom
# Magnetic moment: 0.00 μB/atom
# Mass density: 14.5 g/cm3
data_ReNiRh
_symmetry_space_group_name_H-M 'A m a 2'
_symmetry_Int_Tables_number 40
_symmetry_space_group_name_Hall 'A 2 -2a'
_cell_length_a 4.315
_cell_length_b 4.614
_cell_length_c 8.016
_cell_angle_alpha 90.00
_cell_angle_beta 90.00
_cell_angle_gamma 90.00
loop_
_atom_site_label
_atom_site_fract_x
_atom_site_fract_y
_atom_site_fract_z
_atom_site_occupancy
Re1 0.250 0.173 0.000 1
Ni1 0.250 0.165 0.658 1
Rh1 0.250 0.177 0.324 1

[5]
# ReNiRh2 | the Alexandria database | GGA-PBE | optimized geometry
# E_form: 0.262 eV/atom
# Magnetic moment: 0.00 μB/atom
# Mass density: 13.6 g/cm3
data_ReNiRh2
_symmetry_space_group_name_H-M 'F -4 3 m'
_symmetry_Int_Tables_number 216
_symmetry_space_group_name_Hall 'F -4 2 3'
_cell_length_a 6.045
_cell_length_b 6.045
_cell_length_c 6.045
_cell_angle_alpha 90.00
_cell_angle_beta 90.00
_cell_angle_gamma 90.00
loop_
_atom_site_label
_atom_site_fract_x
_atom_site_fract_y
_atom_site_fract_z
_atom_site_occupancy
Re1 0.000 0.000 0.000 1
Ni1 0.250 0.250 0.750 1
Rh1 0.000 0.000 0.500 1
Rh2 0.250 0.250 0.250 1

[6]
# ReNi2Rh | the Alexandria database | GGA-PBE | optimized geometry
# E_form: 0.606 eV/atom
# Magnetic moment: 0.00 μB/atom
# Mass density: 12.1 g/cm3
data_ReNi2Rh
_symmetry_space_group_name_H-M 'I -4 2 d'
_symmetry_Int_Tables_number 122
_symmetry_space_group_name_Hall 'I -4 2bw'
_cell_length_a 6.631
_cell_length_b 6.631
_cell_length_c 5.069
_cell_angle_alpha 90.00
_cell_angle_beta 90.00
_cell_angle_gamma 90.00
loop_
_atom_site_label
_atom_site_fract_x
_atom_site_fract_y
_atom_site_fract_z
_atom_site_occupancy
Re1 0.000 0.000 0.000 1
Ni1 0.237 0.250 0.125 1
Rh1 0.000 0.000 0.500 1